La2Er3Au4 | Alexandria via LeMat-Bulk | PBE | relaxed; total moment = 0.00 μB per cell; total energy = -0.356 Ry/atom; energy of formation = -0.77 eV/atom
1.0
-2.883 -5.956 5.358
-3.163 -0.858 -7.084
5.765 -4.605 -2.017
La Er Au
4 6 8
Cartesian
-0.408 -5.197 1.134 La
-0.396 -9.935 -2.519 La
0.127 -6.222 -4.876 La
0.114 -1.485 -1.223 La
1.301 -2.732 -4.550 Er
-3.023 -3.407 -0.863 Er
1.952 -8.595 0.566 Er
-2.530 -6.717 -2.030 Er
-2.233 -2.824 -4.308 Er
2.249 -4.703 -1.713 Er
0.322 -7.851 2.905 Au
-4.357 -4.700 -3.160 Au
-0.604 -3.569 -6.647 Au
4.075 -6.719 -0.583 Au
-3.374 -6.279 0.762 Au
0.330 -7.064 -1.363 Au
3.093 -5.141 -4.504 Au
-0.612 -4.356 -2.379 Au